LaMgW2 | SCAN | single point on PBEsol structure

The density of states at the Fermi level is 2.8 states/eV per cell. The calculation puts the energy at -46.40 eV/atom. The value obtained for the excess energy over the best structure of this formula in the dataset is 0.0 meV per atom. As for the magnetic moment: 0.00 μB/atom.

abc: 2.917 2.917 10.111
angles: 90.00 90.00 111.96
Positions (direct):
W 0.000 0.000 0.980
Mg 0.500 0.500 0.215
W 0.500 0.500 0.784
La 0.000 0.000 0.522